Computed, not measured: crystalline Th3Sb2As at its relaxed geometry at the PBE-GGA level of DFT.

The value obtained for the energy relative to the elements, uncorrected is -1.050 eV/atom. As for the polymorph energy (0 for the lowest one): 12 meV/atom.

The structure in CIF format:
```
data_Th3Sb2As
_chemical_formula_sum 'Th6 Sb4 As2'
_cell_length_a 7.632
_cell_length_b 7.669
_cell_length_c 7.669
_cell_angle_alpha 119.88
_cell_angle_beta 99.61
_cell_angle_gamma 99.61
_symmetry_space_group_name_H-M 'P 1'
_symmetry_Int_Tables_number 1
loop_
_symmetry_equiv_pos_as_xyz
'x,y,z'
loop_
_atom_site_label
_atom_site_fract_x
_atom_site_fract_y
_atom_site_fract_z
As1 0.750 0.410 0.590
As2 0.250 0.590 0.410
Th1 0.507 0.352 0.199
Th2 0.000 0.500 0.000
Th3 0.493 0.648 0.801
Th4 0.007 0.199 0.352
Th5 0.993 0.801 0.648
Th6 0.500 0.000 0.500
Sb1 0.750 0.759 0.241
Sb2 0.250 0.241 0.759
Sb3 0.750 0.081 0.919
Sb4 0.250 0.919 0.081
```